No. 1
# Ba2In2Au

A relaxed structure of Ba2In2Au (PBE-GGA, Alexandria).

Calculated values
- Formation energy: -0.3354 eV per atom
- Symmetry: P4/mbm (127)

Lattice parameters (Å, degrees): 7.812 7.812 5.518 90.00 90.00 90.00
Sites, in units of the cell vectors:
In 0.140 0.360 0.000
In 0.860 0.640 0.000
In 0.360 0.860 0.000
In 0.640 0.140 0.000
Ba 0.333 0.167 0.500
Ba 0.667 0.833 0.500
Ba 0.833 0.333 0.500
Ba 0.167 0.667 0.500
Au 0.000 0.000 0.000
Au 0.500 0.500 0.000


No. 2
# Ba3In4Au2

A relaxed structure of Ba3In4Au2 (PBE-GGA, Alexandria).

Calculated values
- Formation energy: -0.5454 eV per atom
- Symmetry: C2/m (12)

Lattice parameters (Å, degrees): 4.981 6.717 9.942 70.01 75.49 68.24
Sites, in units of the cell vectors:
Ba 0.000 0.000 0.000
Ba 0.315 0.730 0.639
Ba 0.685 0.270 0.361
In 0.746 0.595 0.914
In 0.015 0.323 0.647
In 0.985 0.677 0.353
In 0.254 0.405 0.086
Au 0.598 0.071 0.733
Au 0.402 0.929 0.267


No. 3
# BaInAu2

A relaxed structure of BaInAu2 (PBE-GGA, Alexandria).

Calculated values
- Formation energy: -0.5812 eV per atom
- Symmetry: Pnma (62)

Lattice parameters (Å, degrees): 7.185 7.397 8.330 90.00 90.00 90.00
Sites, in units of the cell vectors:
Au 0.432 0.556 0.317
Au 0.068 0.944 0.817
Au 0.432 0.944 0.317
Au 0.568 0.444 0.683
Au 0.932 0.056 0.183
Au 0.932 0.444 0.183
Au 0.568 0.056 0.683
Au 0.068 0.556 0.817
In 0.158 0.750 0.133
In 0.658 0.250 0.367
In 0.842 0.250 0.867
In 0.342 0.750 0.633
Ba 0.333 0.250 0.013
Ba 0.667 0.750 0.987
Ba 0.833 0.750 0.487
Ba 0.167 0.250 0.513


No. 4
# BaIn4Au

A relaxed structure of BaIn4Au (PBE-GGA, Alexandria).

Calculated values
- Formation energy: -0.1129 eV per atom
- Symmetry: F-43m (216)

Lattice parameters (Å, degrees): 6.274 6.274 6.274 60.00 60.00 60.00
Sites, in units of the cell vectors:
In 0.375 0.375 0.875
In 0.375 0.375 0.375
In 0.375 0.875 0.375
In 0.875 0.375 0.375
Ba 0.000 0.000 0.000
Au 0.750 0.750 0.750


No. 5
# BaIn2Au

A relaxed structure of BaIn2Au (PBE-GGA, Alexandria).

Calculated values
- Formation energy: -0.2946 eV per atom
- Symmetry: P2/m (10)

Lattice parameters (Å, degrees): 4.832 4.545 7.100 49.91 90.00 90.00
Sites, in units of the cell vectors:
Ba 0.000 0.000 0.500
Au 0.500 0.500 0.500
In 0.500 0.500 0.000
In 0.000 0.000 0.000


No. 6
# Ba2In5Au4

A relaxed structure of Ba2In5Au4 (PBE-GGA, Alexandria).

Calculated values
- Formation energy: -0.3883 eV per atom
- Symmetry: C2/m (12)

Lattice parameters (Å, degrees): 6.342 7.704 7.739 72.82 65.81 65.69
Sites, in units of the cell vectors:
Au 0.767 0.552 0.914
Au 0.343 0.066 0.248
Au 0.657 0.934 0.752
Au 0.233 0.448 0.086
Ba 0.286 0.765 0.664
Ba 0.714 0.235 0.336
In 0.000 0.500 0.500
In 0.284 0.771 0.156
In 0.211 0.229 0.844
In 0.789 0.771 0.156
In 0.716 0.229 0.844


Question: Look up the formation energy of the third one.
Answer: -0.5812 eV per atom